No. 1
A plane-wave DFT calculation with GGA-PBE was carried out for Nd8P3SCl4 after structural relaxation.

Cell: 8.2637 8.3955 8.2639 Å, 119.48 120.00 90.00°
With the nearest neighbours (Å) after each atom.
Element x y z (fractional)
1 Nd 0.7623 0.2872 0.0249  2 P 2.80, 1 S 2.80, 3 Cl 3.10
2 Cl 0.5000 0.0000 0.5000  6 Nd 3.09-3.10
3 Nd 0.2377 0.7128 0.4754  2 P 2.80, 1 S 2.80, 3 Cl 3.10
4 Nd 0.7382 0.7146 0.4764  3 P 2.81, 3 Cl 3.09-3.10
5 Nd 0.2377 0.7128 0.9751  2 P 2.80, 1 S 2.80, 3 Cl 3.10
6 Nd 0.7375 0.7128 0.9751  2 P 2.80, 1 S 2.80, 3 Cl 3.10
7 Nd 0.2618 0.2854 0.5236  3 P 2.81, 3 Cl 3.09-3.10
8 Nd 0.2625 0.2872 0.0249  2 P 2.80, 1 S 2.80, 3 Cl 3.10
9 Nd 0.7623 0.2872 0.5246  2 P 2.80, 1 S 2.80, 3 Cl 3.10
10 P 0.5000 0.5000 0.5000  6 Nd 2.80-2.81
11 P 0.0000 0.5000 0.5000  6 Nd 2.80-2.81
12 Cl 0.0000 0.0000 0.0000  6 Nd 3.10
13 Cl 0.0000 0.0000 0.5000  6 Nd 3.09-3.10
14 Cl 0.5000 0.0000 0.0000  6 Nd 3.10
15 S 0.0000 0.5000 0.0000  6 Nd 2.80
16 P 0.5000 0.5000 0.0000  6 Nd 2.80-2.81

Properties
- N(E_F) (states/eV/f.u.) = 7.070
- density (g cm⁻³) = 5.77
- formation energy without anion corrections (eV per atom) = -1.640
- V (Å³/atom) = 25.54
- space-group type = R-3m (166)

***

No. 2
A plane-wave DFT calculation with GGA-PBE was carried out for NdDyZn after structural relaxation.

Cell: 3.6376 3.6376 6.6863 Å, 105.78 105.78 90.00°
With the nearest neighbours (Å) after each atom.
Element x y z (fractional)
1 Dy 0.3073 0.3073 0.6147  4 Zn 3.05
2 Zn 0.6739 0.6739 0.3478  4 Dy 3.05, 4 Nd 3.21
3 Nd 0.0188 0.0188 0.0375  4 Zn 3.21, 1 Dy 3.56

Properties
- N(E_F) (states/eV/f.u.) = 3.757
- density (g cm⁻³) = 7.57
- V (Å³/atom) = 27.22
- space-group type = I4mm (107)
- energy relative to the lowest polymorph listed for this composition (meV/atom) = 0

***

No. 3
A plane-wave DFT calculation with GGA-PBE was carried out for MnZnPtAu after structural relaxation.

Cell: 2.9413 2.9413 7.2045 Å, 90.00 90.00 90.00°
With the nearest neighbours (Å) after each atom.
Element x y z (fractional)
1 Pt 0.5000 0.5000 0.6049  4 Zn 2.69, 4 Mn 2.71, 4 Pt 2.94
2 Zn 0.0000 0.0000 0.3688  4 Pt 2.69, 4 Au 2.80, 4 Zn 2.94
3 Au 0.5000 0.5000 0.1086  4 Zn 2.80, 4 Mn 2.81, 4 Au 2.94
4 Mn 0.0000 0.0000 0.8457  4 Pt 2.71, 4 Au 2.81, 4 Mn 2.94

Properties
- N(E_F) (states/eV/f.u.) = 1.372
- density (g cm⁻³) = 13.65
- V (Å³/atom) = 15.58
- space-group type = P4mm (99)
- energy relative to the lowest polymorph listed for this composition (meV/atom) = 0